[1]
DFT (PBE) results for an optimized crystal structure of CaAc2Mg6.

Values from the calculation:
**DFT formation energy**: -0.059 eV per atom

```
data_CaAc2Mg6
_space_group_name_H-M_alt 'P 1'
_space_group_IT_number 1
_space_group_name_Hall 'P 1'
_cell_length_a 9.357
_cell_length_b 9.357
_cell_length_c 3.657
_cell_angle_alpha 90.00
_cell_angle_beta 90.00
_cell_angle_gamma 120.00
loop_
_atom_site_label
_atom_site_fract_x
_atom_site_fract_y
_atom_site_fract_z
_atom_site_occupancy
Ca1 0.000 0.000 0.000 1
Ac1 0.333 0.667 0.000 1
Ac2 0.667 0.333 0.000 1
Mg1 0.000 0.329 0.500 1
Mg2 0.000 0.671 0.500 1
Mg3 0.329 0.000 0.500 1
Mg4 0.329 0.329 0.500 1
Mg5 0.671 0.000 0.500 1
Mg6 0.671 0.671 0.500 1
```


[2]
DFT (PBE) results for an optimized crystal structure of LiFe2SnN.

Values from the calculation:
**Raw formation energy**: -138 meV per atom

```
data_LiFe2SnN
_space_group_name_H-M_alt 'P 1'
_space_group_IT_number 1
_space_group_name_Hall 'P 1'
_cell_length_a 3.764
_cell_length_b 3.764
_cell_length_c 4.057
_cell_angle_alpha 90.00
_cell_angle_beta 90.00
_cell_angle_gamma 90.00
loop_
_atom_site_label
_atom_site_fract_x
_atom_site_fract_y
_atom_site_fract_z
_atom_site_occupancy
Li1 0.000 0.000 0.000 1
Fe1 0.000 0.500 0.500 1
Fe2 0.500 0.000 0.500 1
Sn1 0.500 0.500 0.000 1
N1 0.000 0.000 0.500 1
```


[3]
DFT (PBE) results for an optimized crystal structure of Pm5Er6.

Values from the calculation:
**Relative energy among the computed polymorphs**: 2.2 kJ per mole of atoms
**DFT formation energy**: 0.138 eV per atom

```
data_Pm5Er6
_space_group_name_H-M_alt 'P 1'
_space_group_IT_number 1
_space_group_name_Hall 'P 1'
_cell_length_a 7.962
_cell_length_b 7.962
_cell_length_c 6.402
_cell_angle_alpha 99.80
_cell_angle_beta 99.80
_cell_angle_gamma 110.85
loop_
_atom_site_label
_atom_site_fract_x
_atom_site_fract_y
_atom_site_fract_z
_atom_site_occupancy
Pm1 0.000 0.000 0.000 1
Pm2 0.131 0.869 0.500 1
Pm3 0.261 0.739 0.000 1
Pm4 0.739 0.261 0.000 1
Pm5 0.869 0.131 0.500 1
Er1 0.196 0.453 0.325 1
Er2 0.339 0.339 0.807 1
Er3 0.453 0.196 0.325 1
Er4 0.547 0.804 0.675 1
Er5 0.661 0.661 0.193 1
Er6 0.804 0.547 0.675 1
```


[4]
DFT (PBE) results for an optimized crystal structure of NaAcBiRh.

Values from the calculation:
**DFT formation energy**: -0.401 eV per atom

```
data_NaAcBiRh
_space_group_name_H-M_alt 'P 1'
_space_group_IT_number 1
_space_group_name_Hall 'P 1'
_cell_length_a 5.171
_cell_length_b 5.171
_cell_length_c 5.171
_cell_angle_alpha 60.00
_cell_angle_beta 60.00
_cell_angle_gamma 60.00
loop_
_atom_site_label
_atom_site_fract_x
_atom_site_fract_y
_atom_site_fract_z
_atom_site_occupancy
Na1 0.000 0.000 0.000 1
Ac1 0.750 0.750 0.750 1
Bi1 0.250 0.250 0.250 1
Rh1 0.500 0.500 0.500 1
```


[5]
DFT (PBE) results for an optimized crystal structure of SrPr3Ir.

Values from the calculation:
**Relative energy among the computed polymorphs**: 0.0 kJ per mole of atoms
**DFT formation energy**: -0.232 eV per atom

```
data_SrPr3Ir
_space_group_name_H-M_alt 'P 1'
_space_group_IT_number 1
_space_group_name_Hall 'P 1'
_cell_length_a 8.161
_cell_length_b 8.161
_cell_length_c 6.360
_cell_angle_alpha 90.00
_cell_angle_beta 90.00
_cell_angle_gamma 120.00
loop_
_atom_site_label
_atom_site_fract_x
_atom_site_fract_y
_atom_site_fract_z
_atom_site_occupancy
Sr1 0.333 0.667 0.250 1
Sr2 0.667 0.333 0.750 1
Pr1 0.169 0.339 0.750 1
Pr2 0.169 0.831 0.750 1
Pr3 0.339 0.169 0.250 1
Pr4 0.661 0.831 0.750 1
Pr5 0.831 0.169 0.250 1
Pr6 0.831 0.661 0.250 1
Ir1 0.000 0.000 0.000 1
Ir2 0.000 0.000 0.500 1
```


[6]
DFT (PBE) results for an optimized crystal structure of Sr2CeThN4.

Values from the calculation:
**Raw formation energy**: -1256 meV per atom

```
data_Sr2CeThN4
_space_group_name_H-M_alt 'P 1'
_space_group_IT_number 1
_space_group_name_Hall 'P 1'
_cell_length_a 6.402
_cell_length_b 3.697
_cell_length_c 6.423
_cell_angle_alpha 90.00
_cell_angle_beta 109.44
_cell_angle_gamma 90.00
loop_
_atom_site_label
_atom_site_fract_x
_atom_site_fract_y
_atom_site_fract_z
_atom_site_occupancy
Sr1 0.000 0.000 0.000 1
Sr2 0.500 0.500 0.000 1
Ce1 0.000 0.500 0.500 1
Th1 0.500 0.000 0.500 1
N1 0.233 0.000 0.707 1
N2 0.261 0.500 0.291 1
N3 0.739 0.500 0.709 1
N4 0.767 0.000 0.293 1
```


[7]
DFT (PBE) results for an optimized crystal structure of KRePb.

Values from the calculation:
**Relative energy among the computed polymorphs**: 108.7 kJ per mole of atoms
**DFT formation energy**: 2.184 eV per atom

```
data_KRePb
_space_group_name_H-M_alt 'P 1'
_space_group_IT_number 1
_space_group_name_Hall 'P 1'
_cell_length_a 5.203
_cell_length_b 5.203
_cell_length_c 5.203
_cell_angle_alpha 60.00
_cell_angle_beta 60.00
_cell_angle_gamma 60.00
loop_
_atom_site_label
_atom_site_fract_x
_atom_site_fract_y
_atom_site_fract_z
_atom_site_occupancy
K1 0.000 0.000 0.000 1
Re1 0.750 0.750 0.750 1
Pb1 0.250 0.250 0.250 1
```


[8]
DFT (PBE) results for an optimized crystal structure of ZrFe2Ni2.

Values from the calculation:
**Relative energy among the computed polymorphs**: 0.2 kJ per mole of atoms
**DFT formation energy**: -0.029 eV per atom

```
data_ZrFe2Ni2
_space_group_name_H-M_alt 'P 1'
_space_group_IT_number 1
_space_group_name_Hall 'P 1'
_cell_length_a 7.094
_cell_length_b 7.094
_cell_length_c 2.644
_cell_angle_alpha 90.00
_cell_angle_beta 90.00
_cell_angle_gamma 90.00
loop_
_atom_site_label
_atom_site_fract_x
_atom_site_fract_y
_atom_site_fract_z
_atom_site_occupancy
Zr1 0.000 0.000 0.000 1
Zr2 0.500 0.500 0.000 1
Fe1 0.119 0.381 0.000 1
Fe2 0.381 0.881 0.000 1
Fe3 0.619 0.119 0.000 1
Fe4 0.881 0.619 0.000 1
Ni1 0.174 0.674 0.500 1
Ni2 0.326 0.174 0.500 1
Ni3 0.674 0.826 0.500 1
Ni4 0.826 0.326 0.500 1
```


Asked for ρ across the records above, the calculation gives 3.832 7.263 7.934 9.540 6.360 6.989 7.213 7.996 g/cm3 in order.
Asked for magnetization across the records above, the calculation gives 0.00 0.01 0.00 0.00 1.13 0.00 3.30 5.10 μB/f.u. in order.